# 1
DFT (PBE-GGA) results for PaGa2Cu4 after structural relaxation. Values from VASP.

Quantum ESPRESSO input file:
```
&SYSTEM
  ibrav = 0, nat = 7, ntyp = 3
/
ATOMIC_SPECIES
Ga 69.72 Ga.upf
Pa 231.04 Pa.upf
Cu 63.55 Cu.upf
ATOMIC_POSITIONS crystal
Ga 0.252 0.252 0.243
Pa 0.000 0.000 0.000
Cu 0.564 0.564 0.309
Ga 0.748 0.748 0.757
Cu 0.140 0.140 0.580
Cu 0.436 0.436 0.691
Cu 0.860 0.860 0.420
CELL_PARAMETERS angstrom
-1.668 3.702 0.890
-3.693 0.214 1.897
1.596 1.245 7.523
```

Values from the calculation:
* DFT formation energy: -0.1171 eV/atom
* N(E_F): 0.712 states/eV/atom
* crystal system: trigonal
* magnetization: 0.00 μB/atom

---

# 2
DFT (PBE-GGA) results for DyGaIrRh after structural relaxation. Values from VASP.

Quantum ESPRESSO input file:
```
&SYSTEM
  ibrav = 0, nat = 4, ntyp = 4
/
ATOMIC_SPECIES
Dy 162.50 Dy.upf
Ir 192.22 Ir.upf
Rh 102.91 Rh.upf
Ga 69.72 Ga.upf
ATOMIC_POSITIONS crystal
Dy 0.500 0.500 0.500
Ir 0.250 0.250 0.250
Rh 0.750 0.750 0.750
Ga 0.000 0.000 0.000
CELL_PARAMETERS angstrom
-3.789 2.109 1.475
-1.541 -0.763 4.245
0.298 3.292 3.171
```

Values from the calculation:
* DFT formation energy: -0.6964 eV/atom
* N(E_F): 0.222 states/eV/atom
* crystal system: cubic
* magnetization: 0.00 μB/atom

---

# 3
DFT (PBE-GGA) results for PmScNi10 after structural relaxation. Values from VASP.

Quantum ESPRESSO input file:
```
&SYSTEM
  ibrav = 0, nat = 12, ntyp = 3
/
ATOMIC_SPECIES
Pm 145.00 Pm.upf
Ni 58.69 Ni.upf
Sc 44.96 Sc.upf
ATOMIC_POSITIONS crystal
Pm 0.000 0.000 0.000
Ni 0.000 0.000 0.342
Ni 0.000 0.500 0.821
Sc 0.000 0.500 0.500
Ni 0.000 0.000 0.658
Ni 0.500 0.253 0.744
Ni 0.500 0.747 0.256
Ni 0.500 0.747 0.744
Ni 0.500 0.500 0.000
Ni 0.500 0.000 0.500
Ni 0.000 0.500 0.179
Ni 0.500 0.253 0.256
CELL_PARAMETERS angstrom
-2.886 2.481 -1.125
-3.153 -3.669 -0.003
-1.809 1.547 8.054
```

Values from the calculation:
* DFT formation energy: -0.2835 eV/atom
* N(E_F): 1.125 states/eV/atom
* crystal system: orthorhombic
* magnetization: 0.23 μB/atom

---

# 4
DFT (PBE-GGA) results for SrFeTe after structural relaxation. Values from VASP.

Quantum ESPRESSO input file:
```
&SYSTEM
  ibrav = 0, nat = 3, ntyp = 3
/
ATOMIC_SPECIES
Te 127.60 Te.upf
Sr 87.62 Sr.upf
Fe 55.84 Fe.upf
ATOMIC_POSITIONS crystal
Te 0.500 0.500 0.500
Sr 0.000 0.000 0.000
Fe 0.750 0.750 0.750
CELL_PARAMETERS angstrom
-4.522 -1.282 0.594
-1.299 -4.500 -0.708
-1.227 -2.719 3.680
```

Values from the calculation:
* formation energy without anion corrections: -91 meV per atom
* N(E_F): 0.393 states/eV/atom
* crystal system: cubic
* magnetization: 0.67 μB/atom

---

Q: Number 3 is which compound?
A: PmScNi10